VASP calculation (GGA-PBEsol) on a relaxed Li2V2SiGeO10 crystal.

a = 4.6747 Å, b = 6.2320 Å, c = 6.4317 Å
α = 90.00°, β = 94.46°, γ = 90.00°
Closest atoms and distances in Å follow each position.
Sites, in units of the cell vectors:
O: 0.7330 0.5000 0.3121  1 V 1.62
Li: 0.9987 0.2582 0.5060  4 O 1.98-2.05
O: 0.6586 0.0000 0.0230  1 Ge 1.75, 1 V 1.77
V: 0.3924 0.5000 0.2462  2 O 1.62-1.78
O: 0.2658 0.0000 0.6934  1 V 1.61
Ge: 0.4798 0.0000 0.2517  4 O 1.74-1.76
O: 0.7230 0.2854 0.7317  1 Si 1.65
Si: 0.5199 0.5000 0.7442  4 O 1.63-1.65
O: 0.7442 0.0000 0.4586  1 Ge 1.74
O: 0.3761 0.5000 0.9694  1 Si 1.64, 1 V 1.78
O: 0.7230 0.7146 0.7317  1 Si 1.65
O: 0.2541 0.2256 0.2630  1 Ge 1.76, 1 V 1.83
O: 0.2541 0.7744 0.2630  1 Ge 1.76, 1 V 1.83
Li: 0.9987 0.7418 0.5060  4 O 1.98-2.05
V: 0.6082 0.0000 0.7471  2 O 1.61-1.77
O: 0.2706 0.5000 0.5530  1 Si 1.63

Output
D(E_F): 0.00 states/eV/atom
E_form (uncorrected): -2262.9 meV per atom
crystal system: monoclinic
energy relative to the lowest polymorph listed for this composition: 0.00 eV/f.u.
uncorrected energy: -7.662 eV/atom
space group: Pm (6)

VASP calculation (GGA-PBEsol) on a relaxed Li2V2SiGeO10 crystal.

a = 4.5614 Å, b = 6.3302 Å, c = 6.3302 Å
α = 90.75°, β = 90.00°, γ = 90.00°
Closest atoms and distances in Å follow each position.
Sites, in units of the cell vectors:
O: 0.2676 0.2797 0.5077  1 Ge 1.75, 1 V 1.86
O: 0.2584 0.5000 0.0000  1 V 1.61
O: 0.2907 0.9958 0.2104  1 Si 1.64
Si: 0.5000 0.0000 0.0000  4 O 1.64
O: 0.2676 0.7203 0.4923  1 Ge 1.75, 1 V 1.86
O: 0.2907 0.0042 0.7896  1 Si 1.64
O: 0.7324 0.5077 0.2797  1 Ge 1.75, 1 V 1.86
V: 0.3894 0.0000 0.5000  1 O 1.61
O: 0.7416 0.0000 0.5000  1 V 1.61
Li: 0.0000 0.2394 0.7606  4 O 2.00-2.03
O: 0.7093 0.2104 0.9958  1 Si 1.64
Li: 0.0000 0.7606 0.2394  4 O 2.00-2.03
O: 0.7324 0.4923 0.7203  1 Ge 1.75, 1 V 1.86
Ge: 0.5000 0.5000 0.5000  4 O 1.75
O: 0.7093 0.7896 0.0042  1 Si 1.64
V: 0.6106 0.5000 0.0000  1 O 1.61

Output
D(E_F): 0.00 states/eV/atom
E_form (uncorrected): -2239.6 meV per atom
crystal system: orthorhombic
energy relative to the lowest polymorph listed for this composition: 0.37 eV/f.u.
uncorrected energy: -7.638 eV/atom
space group: C222 (21)

VASP calculation (GGA-PBEsol) on a relaxed Li2V2SiGeO10 crystal.

a = 4.5532 Å, b = 8.8964 Å, c = 9.0268 Å
α = 90.00°, β = 90.00°, γ = 90.00°
Closest atoms and distances in Å follow each position.
Sites, in units of the cell vectors:
Li: 0.0000 0.7500 0.7418  4 O 2.01-2.02
O: 0.2879 0.1467 0.6054  1 Si 1.64
O: 0.7287 0.8559 0.1165  1 Ge 1.75, 1 V 1.87
O: 0.7121 0.1467 0.3946  1 Si 1.64
V: 0.6101 0.5000 0.7453  1 O 1.61
Ge: 0.5000 0.7500 0.0000  4 O 1.75
O: 0.7121 0.8533 0.3946  1 Si 1.64
O: 0.7287 0.3559 0.8835  1 Ge 1.75, 1 V 1.87
V: 0.3899 0.5000 0.2547  1 O 1.61
O: 0.2713 0.8559 0.8835  1 Ge 1.75, 1 V 1.87
O: 0.2713 0.6441 0.1165  1 Ge 1.75, 1 V 1.87
V: 0.6101 0.0000 0.2547  1 O 1.61
V: 0.3899 0.0000 0.7453  1 O 1.61
O: 0.2574 0.5000 0.7492  1 V 1.61
Li: 0.0000 0.7500 0.2582  4 O 2.01-2.02
O: 0.7287 0.1441 0.1165  1 Ge 1.75, 1 V 1.87
O: 0.7121 0.3533 0.6054  1 Si 1.64
Ge: 0.5000 0.2500 0.0000  4 O 1.75
Si: 0.5000 0.7500 0.5000  4 O 1.64
O: 0.2879 0.6467 0.3946  1 Si 1.64
Li: 0.0000 0.2500 0.7418  4 O 2.01-2.02
O: 0.2879 0.3533 0.3946  1 Si 1.64
O: 0.7426 0.0000 0.7492  1 V 1.61
O: 0.2713 0.3559 0.1165  1 Ge 1.75, 1 V 1.87
O: 0.7121 0.6467 0.6054  1 Si 1.64
Si: 0.5000 0.2500 0.5000  4 O 1.64
O: 0.7426 0.5000 0.2508  1 V 1.61
O: 0.2713 0.1441 0.8835  1 Ge 1.75, 1 V 1.87
O: 0.2574 0.0000 0.2508  1 V 1.61
Li: 0.0000 0.2500 0.2582  4 O 2.01-2.02
O: 0.7287 0.6441 0.8835  1 Ge 1.75, 1 V 1.87
O: 0.2879 0.8533 0.6054  1 Si 1.64

Output
D(E_F): 0.00 states/eV/atom
E_form (uncorrected): -2240.3 meV per atom
crystal system: orthorhombic
energy relative to the lowest polymorph listed for this composition: 0.36 eV/f.u.
uncorrected energy: -7.639 eV/atom
space group: Pccm (49)

VASP calculation (GGA-PBEsol) on a relaxed Li4V2SiGeO10 crystal.

a = 4.4752 Å, b = 9.0675 Å, c = 9.0757 Å
α = 90.00°, β = 90.00°, γ = 90.00°
Closest atoms and distances in Å follow each position.
Sites, in units of the cell vectors:
O: 0.2632 0.6425 0.1104  1 Ge 1.75, 1 V 1.95
O: 0.7368 0.8575 0.1104  1 Ge 1.75, 1 V 1.95
O: 0.2240 0.0000 0.2534  1 V 1.64
O: 0.2797 0.8536 0.6012  1 Si 1.64
O: 0.7368 0.6425 0.8896  1 Ge 1.75, 1 V 1.95
O: 0.2240 0.5000 0.7466  1 V 1.64
O: 0.7203 0.3536 0.6012  1 Si 1.64
O: 0.2797 0.3536 0.3988  1 Si 1.64
Li: 0.0000 0.5000 0.0000  4 O 2.01
V: 0.5908 0.0000 0.2545  1 O 1.64
O: 0.7368 0.1425 0.1104  1 Ge 1.75, 1 V 1.95
O: 0.7760 0.0000 0.7466  1 V 1.64
O: 0.7203 0.8536 0.3988  1 Si 1.64
O: 0.2797 0.1464 0.6012  1 Si 1.64
Si: 0.5000 0.2500 0.5000  4 O 1.64
O: 0.2632 0.8575 0.8896  1 Ge 1.75, 1 V 1.95
Li: 0.0000 0.2500 0.7441  4 O 2.02-2.03
Li: 0.0000 0.5000 0.5000  4 O 2.04
O: 0.7760 0.5000 0.2534  1 V 1.64
O: 0.7368 0.3575 0.8896  1 Ge 1.75, 1 V 1.95
Ge: 0.5000 0.7500 0.0000  4 O 1.75
Li: 0.0000 0.0000 0.0000  4 O 2.01
Ge: 0.5000 0.2500 0.0000  4 O 1.75
Li: 0.0000 0.2500 0.2559  4 O 2.02-2.03
Li: 0.0000 0.0000 0.5000  4 O 2.04
O: 0.2632 0.3575 0.1104  1 Ge 1.75, 1 V 1.95
Si: 0.5000 0.7500 0.5000  4 O 1.64
V: 0.4092 0.5000 0.2545  1 O 1.64
O: 0.2632 0.1425 0.8896  1 Ge 1.75, 1 V 1.95
V: 0.5908 0.5000 0.7455  1 O 1.64
O: 0.2797 0.6464 0.3988  1 Si 1.64
V: 0.4092 0.0000 0.7455  1 O 1.64
Li: 0.0000 0.7500 0.7441  4 O 2.02-2.03
O: 0.7203 0.1464 0.3988  1 Si 1.64
O: 0.7203 0.6464 0.6012  1 Si 1.64
Li: 0.0000 0.7500 0.2559  4 O 2.02-2.03

Output
E_form (uncorrected): -2300.3 meV per atom
crystal system: orthorhombic
uncorrected energy: -7.318 eV/atom
space group: Pccm (49)

VASP calculation (GGA-PBEsol) on a relaxed Li4V2SiGeO10 crystal.

a = 4.4814 Å, b = 6.4099 Å, c = 6.4099 Å
α = 90.00°, β = 90.00°, γ = 90.00°
Closest atoms and distances in Å follow each position.
Sites, in units of the cell vectors:
V: 0.0908 0.5000 0.0000  1 O 1.64
O: 0.2182 0.2060 0.0000  1 Si 1.64
V: 0.9092 0.0000 0.5000  1 O 1.64
O: 0.7607 0.7164 0.5000  1 Ge 1.75, 1 V 1.94
O: 0.7818 0.0000 0.2060  1 Si 1.64
Ge: 0.0000 0.5000 0.5000  4 O 1.75
O: 0.2393 0.5000 0.7164  1 Ge 1.75, 1 V 1.94
Li: 0.5000 0.2448 0.2448  4 O 2.03
O: 0.2182 0.7940 0.0000  1 Si 1.64
O: 0.7818 0.0000 0.7940  1 Si 1.64
O: 0.2754 0.0000 0.5000  1 V 1.64
Si: 0.0000 0.0000 0.0000  4 O 1.64
O: 0.7246 0.5000 0.0000  1 V 1.64
O: 0.7607 0.2836 0.5000  1 Ge 1.75, 1 V 1.94
Li: 0.5000 0.7552 0.2448  4 O 2.03
Li: 0.5000 0.7552 0.7552  4 O 2.03
O: 0.2393 0.5000 0.2836  1 Ge 1.75, 1 V 1.94
Li: 0.5000 0.2448 0.7552  4 O 2.03

Output
E_form (uncorrected): -2300.2 meV per atom
crystal system: tetragonal
uncorrected energy: -7.318 eV/atom
space group: P-4m2 (115)

VASP calculation (GGA-PBEsol) on a relaxed Li2TiGeO5 crystal.

a = 4.4118 Å, b = 6.6061 Å, c = 6.6061 Å
α = 90.00°, β = 90.00°, γ = 90.00°
Closest atoms and distances in Å follow each position.
Sites, in units of the cell vectors:
Ge: 0.0000 0.5000 0.5000  4 O 1.75
O: 0.2359 0.7139 0.5000  1 Ge 1.75
Ge: 0.0000 0.0000 0.0000  4 O 1.75
O: 0.7641 0.2139 0.0000  1 Ge 1.75
Li: 0.5000 0.2500 0.2500  4 O 2.04
O: 0.7641 0.5000 0.2861  1 Ge 1.75
Li: 0.5000 0.2500 0.7500  4 O 2.04
O: 0.7641 0.5000 0.7139  1 Ge 1.75
O: 0.2359 0.2861 0.5000  1 Ge 1.75
O: 0.2787 0.5000 0.0000  1 Ti 1.71
Ti: 0.8905 0.5000 0.0000  1 O 1.71
Li: 0.5000 0.7500 0.7500  4 O 2.04
Li: 0.5000 0.7500 0.2500  4 O 2.04
O: 0.2359 0.0000 0.7861  1 Ge 1.75
O: 0.2359 0.0000 0.2139  1 Ge 1.75
O: 0.7213 0.0000 0.5000  1 Ti 1.71
Ti: 0.1095 0.0000 0.5000  1 O 1.71
O: 0.7641 0.7861 0.0000  1 Ge 1.75

Output
D(E_F): 0.00 states/eV/atom
E_form (uncorrected): -2349.7 meV per atom
crystal system: tetragonal
uncorrected energy: -7.177 eV/atom
space group: P4/nmm (129)